The following is a PBE+U calculation of crystalline MnHO2 at its relaxed geometry, from Alexandria via LeMat-Bulk.

Cell: 5.3655 5.3751 5.3828 Å, 113.18 90.00 90.00°
Closest atoms and distances in Å follow each position.
Positions (direct):
O 0.6255 0.1266 0.3785  1 H 1.56
O 0.3745 0.8734 0.6215  1 H 1.56
O 0.3775 0.3734 0.1304  1 H 1.03
H 0.0230 0.2792 0.7332  1 O 1.03
Mn 0.9881 0.2381 0.2481  4 O 1.94-2.03
H 0.4770 0.2792 0.2332  1 O 1.03
Mn 0.4881 0.7619 0.2519  4 O 1.94-2.03
O 0.1255 0.8734 0.1215  1 H 1.56
O 0.6225 0.6266 0.8696  1 H 1.03
Mn 0.5118 0.2381 0.7481  4 O 1.94-2.03
O 0.1225 0.3734 0.6304  1 H 1.03
H 0.5230 0.7208 0.7668  1 O 1.03
Mn 0.0119 0.7619 0.7519  4 O 1.94-2.03
O 0.8745 0.1266 0.8785  1 H 1.56
O 0.8775 0.6266 0.3696  1 H 1.03
H 0.9770 0.7208 0.2668  1 O 1.03

final energy = -6.576 eV/atom
spin magnetization = 16.0 μB per cell
SG = P2_1/c, No. 14